VASP calculation (PBE) on a relaxed structure of CrAsRu2.

The volume is 56 Å³ per cell. The value obtained for the total energy is -8.1384 eV/atom. The density comes out at 9.7 g cm⁻³. For the formation enthalpy at 0 K, the calculation gives 67.7 meV per atom.

a = 3.9480 Å, b = 2.7877 Å, c = 5.2808 Å
α = 74.69°, β = 90.00°, γ = 90.00°
Closest atoms and distances in Å follow each position.
Sites, in units of the cell vectors:
As 0.0000 0.2994 0.5254  3 Ru 2.42-2.45, 4 Cr 2.64
Cr 0.5000 0.6960 0.7328  7 Ru 2.59-2.86, 4 As 2.64, 2 Cr 2.79
Ru 0.0000 0.0628 0.9998  1 As 2.42
Ru 0.5000 0.4418 0.2421  2 As 2.45, 1 Cr 2.59, 4 Ru 2.71